The following is a PBE calculation of an optimized crystal structure of Be2TcB2, from Alexandria via LeMat-Bulk.

CIF file:
```
data_Be2TcB2
_cell_length_a 3.061
_cell_length_b 4.805
_cell_length_c 5.856
_cell_angle_alpha 90.00
_cell_angle_beta 90.00
_cell_angle_gamma 108.57
_space_group_name_H-M_alt 'P 1'
_space_group_IT_number 1
loop_
_space_group_symop_operation_xyz
'x,y,z'
loop_
_atom_site_label
_atom_site_type_symbol
_atom_site_fract_x
_atom_site_fract_y
_atom_site_fract_z
Be1 Be 0.314 0.628 0.954
Be2 Be 0.686 0.372 0.454
Be3 Be 0.128 0.257 0.206
Be4 Be 0.872 0.743 0.706
Tc1 Tc 0.411 0.822 0.356
Tc2 Tc 0.589 0.178 0.856
B1 B 0.235 0.470 0.641
B2 B 0.765 0.530 0.141
B3 B 0.940 0.880 0.046
B4 B 0.060 0.120 0.546
```

* E: -64.2 eV per cell
* formation enthalpy at 0 K: -0.184 eV per atom
* space-group type: No. 36
* density: 5598 kg/m3
* excess energy over the best structure of this formula in the dataset: 0 meV per atom